Entry 1:
LiNp2Ge3Ir4 | Alexandria via LeMat-Bulk | PBE | optimized geometry; DFT formation energy = -0.415 eV/atom; crystal system = tetragonal; DOS at the Fermi energy = 2.005 states/eV/atom
1.0
4.0449 0.0000 0.0000
0.0000 4.0449 0.0000
0.0000 0.0000 10.9166
Li Np Ge Ir
1 2 3 4
direct
0.0000 0.0000 0.0000 Li
0.0000 0.5000 0.7569 Np
0.5000 0.0000 0.2431 Np
0.0000 0.5000 0.3717 Ge
0.5000 0.0000 0.6283 Ge
0.5000 0.5000 0.0000 Ge
0.0000 0.0000 0.5000 Ir
0.0000 0.5000 0.1485 Ir
0.5000 0.0000 0.8515 Ir
0.5000 0.5000 0.5000 Ir


Entry 2:
LiNpGeIr | Alexandria via LeMat-Bulk | PBE | optimized geometry; DFT formation energy = -0.222 eV/atom; crystal system = cubic; DOS at the Fermi energy = 2.607 states/eV/atom
1.0
0.0000 3.2550 3.2550
3.2550 0.0000 3.2550
3.2550 3.2550 0.0000
Li Np Ge Ir
1 1 1 1
direct
0.0000 0.0000 0.0000 Li
0.7500 0.7500 0.7500 Np
0.2500 0.2500 0.2500 Ge
0.5000 0.5000 0.5000 Ir


Entry 3:
LiNp2Ge4Ir3 | Alexandria via LeMat-Bulk | PBE | optimized geometry; DFT formation energy = -0.378 eV/atom; crystal system = tetragonal; DOS at the Fermi energy = 2.310 states/eV/atom
1.0
4.2548 0.0000 0.0000
0.0000 4.2548 0.0000
0.0000 0.0000 10.0464
Li Np Ge Ir
1 2 4 3
direct
0.0000 0.0000 0.0000 Li
0.0000 0.5000 0.7475 Np
0.5000 0.0000 0.2525 Np
0.0000 0.0000 0.5000 Ge
0.0000 0.5000 0.1291 Ge
0.5000 0.0000 0.8709 Ge
0.5000 0.5000 0.5000 Ge
0.0000 0.5000 0.3704 Ir
0.5000 0.0000 0.6296 Ir
0.5000 0.5000 0.0000 Ir


Entry 4:
LiNpGe2Ir | Alexandria via LeMat-Bulk | PBE | optimized geometry; DFT formation energy = -0.335 eV/atom; crystal system = tetragonal; DOS at the Fermi energy = 2.249 states/eV/atom
1.0
-2.0520 2.0520 5.2566
2.0520 -2.0520 5.2566
2.0520 2.0520 -5.2566
Li Np Ge Ir
1 1 2 1
direct
0.0000 0.0000 0.0000 Li
0.7500 0.2500 0.5000 Np
0.1313 0.6313 0.5000 Ge
0.3687 0.8687 0.5000 Ge
0.5000 0.5000 0.0000 Ir


Entry 5:
LiGeIrO6 | Alexandria via LeMat-Bulk | PBE | optimized geometry; crystal system = trigonal; formation energy (no corrections) = -1.064 eV/atom; DOS at the Fermi energy = 0.421 states/eV/atom
1.0
5.0585 0.0000 0.0000
-2.5292 4.3808 0.0000
0.0000 0.0000 9.1649
Li Ge Ir O
2 2 2 12
direct
0.0000 0.0000 0.0000 Li
0.0000 0.0000 0.5000 Li
0.3333 0.6667 0.2500 Ge
0.6667 0.3333 0.7500 Ge
0.3333 0.6667 0.7500 Ir
0.6667 0.3333 0.2500 Ir
0.0009 0.3605 0.1374 O
0.0009 0.6404 0.3626 O
0.3605 0.0009 0.6374 O
0.3596 0.3605 0.3626 O
0.3605 0.3596 0.8626 O
0.3596 0.9991 0.1374 O
0.6404 0.0009 0.8626 O
0.6395 0.6404 0.1374 O
0.6404 0.6395 0.6374 O
0.6395 0.9991 0.3626 O
0.9991 0.3596 0.6374 O
0.9991 0.6395 0.8626 O


Entry 6:
LiGe2IrOs | Alexandria via LeMat-Bulk | PBE | optimized geometry; DFT formation energy = 0.937 eV/atom; crystal system = tetragonal; DOS at the Fermi energy = 1.106 states/eV/atom
1.0
4.7331 0.0000 0.0000
0.0000 4.7331 0.0000
0.0000 0.0000 4.9486
Li Ge Ir Os
1 2 1 1
direct
0.0000 0.0000 0.0000 Li
0.0000 0.5000 0.5000 Ge
0.5000 0.0000 0.5000 Ge
0.5000 0.5000 0.5000 Ir
0.5000 0.5000 0.0000 Os


Entry 7:
LiGePIr2 | Alexandria via LeMat-Bulk | PBE | optimized geometry; DFT formation energy = 0.939 eV/atom; crystal system = tetragonal; DOS at the Fermi energy = 0.537 states/eV/atom
1.0
4.2930 0.0000 0.0000
0.0000 4.2930 0.0000
0.0000 0.0000 4.0109
Li Ge P Ir
1 1 1 2
direct
0.0000 0.0000 0.0000 Li
0.0000 0.0000 0.5000 Ge
0.5000 0.5000 0.5000 P
0.0000 0.5000 0.0000 Ir
0.5000 0.0000 0.0000 Ir


Entry 8:
LiPaGeIr | Alexandria via LeMat-Bulk | PBE | optimized geometry; DFT formation energy = -0.453 eV/atom; crystal system = cubic; DOS at the Fermi energy = 1.014 states/eV/atom
1.0
0.0000 3.2864 3.2864
3.2864 0.0000 3.2864
3.2864 3.2864 0.0000
Li Pa Ge Ir
1 1 1 1
direct
0.0000 0.0000 0.0000 Li
0.7500 0.7500 0.7500 Pa
0.2500 0.2500 0.2500 Ge
0.5000 0.5000 0.5000 Ir


Entry 9:
LiPa2Ge3Ir4 | Alexandria via LeMat-Bulk | PBE | optimized geometry; DFT formation energy = -0.640 eV/atom; crystal system = tetragonal; DOS at the Fermi energy = 1.153 states/eV/atom
1.0
4.0622 0.0000 0.0000
0.0000 4.0622 0.0000
0.0000 0.0000 10.7278
Li Pa Ge Ir
1 2 3 4
direct
0.0000 0.0000 0.0000 Li
0.0000 0.5000 0.7541 Pa
0.5000 0.0000 0.2459 Pa
0.0000 0.5000 0.3699 Ge
0.5000 0.0000 0.6301 Ge
0.5000 0.5000 0.0000 Ge
0.0000 0.0000 0.5000 Ir
0.0000 0.5000 0.1456 Ir
0.5000 0.0000 0.8544 Ir
0.5000 0.5000 0.5000 Ir


Entry 10:
LiGeIrPd | Alexandria via LeMat-Bulk | PBE | optimized geometry; DFT formation energy = -0.470 eV/atom; crystal system = cubic; DOS at the Fermi energy = 0.274 states/eV/atom
1.0
0.0000 3.0003 3.0003
3.0003 0.0000 3.0003
3.0003 3.0003 0.0000
Li Ge Ir Pd
1 1 1 1
direct
0.0000 0.0000 0.0000 Li
0.5000 0.5000 0.5000 Ge
0.2500 0.2500 0.2500 Ir
0.7500 0.7500 0.7500 Pd


Entry 11:
LiPmGeIr | Alexandria via LeMat-Bulk | PBE | optimized geometry; DFT formation energy = -0.039 eV/atom; crystal system = orthorhombic; DOS at the Fermi energy = 0.739 states/eV/atom
1.0
4.1283 0.0000 0.0000
0.0000 4.5503 0.0000
0.0000 0.0000 4.6893
Li Pm Ge Ir
1 1 1 1
direct
0.0000 0.0000 0.0000 Li
0.5000 0.0000 0.5000 Pm
0.0000 0.5000 0.5000 Ge
0.0000 0.5000 0.0000 Ir


Entry 12:
LiPm2Ge6Ir | Alexandria via LeMat-Bulk | PBE | optimized geometry; DFT formation energy = -0.410 eV/atom; crystal system = trigonal; DOS at the Fermi energy = 0.322 states/eV/atom
1.0
3.1432 1.8147 12.1817
-3.1432 1.8147 12.1817
0.0000 -3.6294 12.1817
Li Pm Ge Ir
2 4 12 2
direct
0.0000 0.0000 0.0000 Li
0.5000 0.5000 0.5000 Li
0.1143 0.1143 0.1143 Pm
0.3017 0.3017 0.3017 Pm
0.6983 0.6983 0.6983 Pm
0.8857 0.8857 0.8857 Pm
0.0616 0.6637 0.6637 Ge
0.2340 0.2340 0.6645 Ge
0.2340 0.6645 0.2340 Ge
0.3355 0.7660 0.7660 Ge
0.3363 0.3363 0.9384 Ge
0.3363 0.9384 0.3363 Ge
0.6637 0.0616 0.6637 Ge
0.6637 0.6637 0.0616 Ge
0.6645 0.2340 0.2340 Ge
0.7660 0.3355 0.7660 Ge
0.7660 0.7660 0.3355 Ge
0.9384 0.3363 0.3363 Ge
0.4323 0.4323 0.4323 Ir
0.5677 0.5677 0.5677 Ir


Entry 13:
LiPm2Ge3Ir4 | Alexandria via LeMat-Bulk | PBE | optimized geometry; DFT formation energy = -0.724 eV/atom; crystal system = tetragonal; DOS at the Fermi energy = 0.436 states/eV/atom
1.0
4.1592 0.0000 0.0000
0.0000 4.1592 0.0000
0.0000 0.0000 10.5320
Li Pm Ge Ir
1 2 3 4
direct
0.0000 0.0000 0.0000 Li
0.0000 0.5000 0.7518 Pm
0.5000 0.0000 0.2482 Pm
0.0000 0.5000 0.3700 Ge
0.5000 0.0000 0.6300 Ge
0.5000 0.5000 0.0000 Ge
0.0000 0.0000 0.5000 Ir
0.0000 0.5000 0.1369 Ir
0.5000 0.0000 0.8631 Ir
0.5000 0.5000 0.5000 Ir